Below is Pm2MnAs4Ir3 after structural relaxation, with properties calculated at the PBE-GGA level.

abc: 4.2902 4.2902 9.9219
angles: 90.00 90.00 90.00
Space group P-4m2 (No. 115)
Asymmetric unit:
1 Pm 0.0000 0.5000 0.2467 [2 per cell]
2 Mn 0.0000 0.0000 0.5000 [1 per cell]
3 As 0.0000 0.0000 0.0000 [1 per cell]
4 As 0.0000 0.5000 0.6257 [2 per cell]
5 As 0.5000 0.5000 0.0000 [1 per cell]
6 Ir 0.0000 0.5000 0.8746 [2 per cell]
7 Ir 0.5000 0.5000 0.5000 [1 per cell]

Energy of formation = -0.6903 eV per atom
Energy = -7.08 eV per atom
Density of states at the Fermi level = 5.13 states/eV per cell

***

Below is SiNiRh2 after structural relaxation, with properties calculated at the PBE-GGA level.

abc: 3.7282 3.7282 7.4398
angles: 90.00 90.00 90.00
Space group I-4m2 (No. 119)
Asymmetric unit:
1 Si 0.0000 0.0000 0.0000 [2 per cell]
2 Ni 0.0000 0.5000 0.7500 [2 per cell]
3 Rh 0.0000 0.0000 0.5000 [2 per cell]
4 Rh 0.0000 0.5000 0.2500 [2 per cell]

Energy = -6.79 eV per atom
Density of states at the Fermi level = 9.82 states/eV per cell
Energy relative to the elements, uncorrected = -0.311 eV/atom

***

Below is BaIn2Se2 after structural relaxation, with properties calculated at the PBE-GGA level.

abc: 8.6455 8.6455 4.4121
angles: 90.00 90.00 90.00
Space group P4/mbm (No. 127)
Asymmetric unit:
1 Ba 0.0000 0.0000 0.0000 [2 per cell]
2 In 0.1259 0.3741 0.5000 [4 per cell]
3 Se 0.1829 0.6829 0.0000 [4 per cell]

Energy = -3.54 eV per atom
Density of states at the Fermi level = 0.10 states/eV per cell
Energy relative to the elements, uncorrected = -0.668 eV/atom
Energy above the most stable polymorph in this dataset = 0.103 eV per atom

***

Below is LiAcNdO4 after structural relaxation, with properties calculated at the PBE-GGA level.

abc: 5.0048 13.3020 5.6367
angles: 90.00 90.00 90.00
Space group Cmcm (No. 63)
Asymmetric unit:
1 Li 0.0000 0.2372 0.2500 [4 per cell]
2 Ac 0.0000 0.1107 0.7500 [4 per cell]
3 Nd 0.0000 0.3817 0.7500 [4 per cell]
4 O 0.0000 0.0776 0.2500 [4 per cell]
5 O 0.0000 0.4397 0.2500 [4 per cell]
6 O 0.2500 0.2500 0.0000 [8 per cell]

Energy = -7.07 eV per atom
Density of states at the Fermi level = 13.99 states/eV per cell
Energy relative to the elements, uncorrected = -2.694 eV/atom

***

Below is LiPm2Hg6 after structural relaxation, with properties calculated at the PBE-GGA level.

abc: 5.5510 16.9703 5.4327
angles: 90.00 119.23 90.00
Space group C2/m (No. 12)
Asymmetric unit:
1 Li 0.0000 0.0000 0.0000 [2 per cell]
2 Pm 0.0000 0.1648 0.5000 [4 per cell]
3 Hg 0.1672 0.5000 0.3345 [4 per cell]
4 Hg 0.1698 0.3419 0.8359 [8 per cell]

Energy of formation = -0.3615 eV per atom
Energy = -1.83 eV per atom
Density of states at the Fermi level = 6.25 states/eV per cell
Energy above the most stable polymorph in this dataset = 0.000 eV per atom

***

Below is CeCdHgPb after structural relaxation, with properties calculated at the PBE-GGA level.

abc: 4.5346 4.7261 4.9865
angles: 90.00 90.00 90.00
Space group Pmmm (No. 47)
Asymmetric unit:
1 Ce 0.0000 0.0000 0.0000 [1 per cell]
2 Cd 0.0000 0.5000 0.5000 [1 per cell]
3 Hg 0.5000 0.0000 0.5000 [1 per cell]
4 Pb 0.5000 0.5000 0.0000 [1 per cell]

Energy of formation = -0.3071 eV per atom
Energy = -3.02 eV per atom
Density of states at the Fermi level = 7.08 states/eV per cell
Energy above the most stable polymorph in this dataset = 0.000 eV per atom

***

Below is AlPt4Cl after structural relaxation, with properties calculated at the PBE-GGA level.

abc: 7.5177 7.5177 7.5177
angles: 90.00 90.00 90.00
Space group F-43m (No. 216)
Asymmetric unit:
1 Al 0.0000 0.0000 0.0000 [4 per cell]
2 Pt 0.1252 0.1252 0.3748 [16 per cell]
3 Cl 0.2500 0.2500 0.7500 [4 per cell]

Energy = -4.74 eV per atom
Density of states at the Fermi level = 15.87 states/eV per cell
Energy relative to the elements, uncorrected = 0.216 eV/atom

***

Below is Li5Zn after structural relaxation, with properties calculated at the PBE-GGA level.

abc: 4.4223 11.7245 4.0794
angles: 90.00 90.00 90.00
Space group Cmmm (No. 65)
Asymmetric unit:
1 Li 0.0000 0.0000 0.0000 [2 per cell]
2 Li 0.0000 0.1611 0.5000 [4 per cell]
3 Li 0.0000 0.3435 0.0000 [4 per cell]
4 Zn 0.0000 0.5000 0.5000 [2 per cell]

Energy of formation = -0.0615 eV per atom
Energy = -1.87 eV per atom
Density of states at the Fermi level = 4.13 states/eV per cell